1.
# PuHgN

An optimized crystal structure of PuHgN (GGA-PBE, Alexandria via LeMat-Bulk).

extended XYZ file:
```
6
Lattice="3.997 0.000 0.000 0.000 3.997 0.000 0.000 0.000 7.508" Properties=species:S:1:pos:R:3 pbc="T T T"
Pu 0.999 0.999 1.035
Pu 2.998 2.998 6.473
Hg 0.999 0.999 4.525
Hg 2.998 2.998 2.983
N 0.999 2.998 0.000
N 2.998 0.999 0.000
```

Computed properties:
V	60.0	Å³/f.u.
formation energy (no corrections)	-830	meV per atom
DFT total energy	-8.4832	eV/atom

2.
# PuHgN

An optimized crystal structure of PuHgN (GGA-PBE, Alexandria via LeMat-Bulk).

extended XYZ file:
```
12
Lattice="0.000 6.800 6.817 3.208 0.000 6.817 3.208 6.800 0.000" Properties=species:S:1:pos:R:3 pbc="T T T"
Pu 3.208 4.806 2.001
Pu 3.208 8.794 11.633
Pu 3.208 8.794 2.001
Pu 3.208 4.806 11.633
Hg 3.208 5.286 5.301
Hg 3.208 8.314 5.301
Hg 3.208 5.286 8.333
Hg 3.208 8.314 8.333
N 3.208 2.277 6.817
N 3.208 6.800 2.333
N 3.208 6.800 11.301
N 3.208 11.322 6.817
```

Computed properties:
V	74.3	Å³/f.u.
formation energy (no corrections)	-102	meV per atom
DFT total energy	-7.7546	eV/atom

3.
# Pu2HgN

An optimized crystal structure of Pu2HgN (GGA-PBE, Alexandria via LeMat-Bulk).

extended XYZ file:
```
4
Lattice="3.098 0.000 0.000 0.000 3.098 0.000 0.000 0.000 8.066" Properties=species:S:1:pos:R:3 pbc="T T T"
Pu 0.000 0.000 1.424
Pu 0.000 0.000 6.641
Hg 1.549 1.549 4.033
N 1.549 1.549 0.000
```

Computed properties:
V	77.4	Å³/f.u.
formation energy (no corrections)	-356	meV per atom
DFT total energy	-9.6787	eV/atom

4.
# Pu3HgN

An optimized crystal structure of Pu3HgN (GGA-PBE, Alexandria via LeMat-Bulk).

extended XYZ file:
```
5
Lattice="4.840 0.000 0.000 0.000 4.840 0.000 0.000 0.000 4.840" Properties=species:S:1:pos:R:3 pbc="T T T"
Pu 0.000 0.000 2.420
Pu 0.000 2.420 0.000
Pu 2.420 0.000 0.000
Hg 2.420 2.420 2.420
N 0.000 0.000 0.000
```

Computed properties:
V	113.4	Å³/f.u.
formation energy (no corrections)	-466	meV per atom
DFT total energy	-10.7907	eV/atom

5.
# Pu2HgN

An optimized crystal structure of Pu2HgN (GGA-PBE, Alexandria via LeMat-Bulk).

extended XYZ file:
```
16
Lattice="7.653 0.000 0.000 0.000 4.080 0.000 0.000 0.000 10.537" Properties=species:S:1:pos:R:3 pbc="T T T"
Pu 1.159 1.020 0.736
Pu 1.310 1.020 7.691
Pu 2.517 3.060 2.422
Pu 2.667 3.060 6.005
Pu 4.986 1.020 4.532
Pu 5.136 1.020 8.115
Pu 6.343 3.060 2.846
Pu 6.494 3.060 9.801
Hg 0.737 1.020 4.261
Hg 3.089 3.060 9.529
Hg 4.563 1.020 1.008
Hg 6.916 3.060 6.277
N 0.104 3.060 1.124
N 3.723 1.020 6.392
N 3.930 3.060 4.145
N 7.549 1.020 9.414
```

Computed properties:
V	82.3	Å³/f.u.
formation energy (no corrections)	-526	meV per atom
DFT total energy	-9.8489	eV/atom

6.
# Pu2HgN2

An optimized crystal structure of Pu2HgN2 (GGA-PBE, Alexandria via LeMat-Bulk).

extended XYZ file:
```
5
Lattice="3.831 0.000 0.000 -1.916 3.318 0.000 0.000 0.000 7.878" Properties=species:S:1:pos:R:3 pbc="T T T"
Pu 0.000 2.212 2.592
Pu 1.916 1.106 5.286
Hg 0.000 0.000 0.000
N 0.000 2.212 4.835
N 1.916 1.106 3.043
```

Computed properties:
V	100.2	Å³/f.u.
formation energy (no corrections)	-969	meV per atom
DFT total energy	-10.0927	eV/atom

7.
# PuHgN

An optimized crystal structure of PuHgN (GGA-PBE, Alexandria via LeMat-Bulk).

extended XYZ file:
```
3
Lattice="-1.604 1.604 6.098 1.604 -1.604 6.098 1.604 1.604 -6.098" Properties=species:S:1:pos:R:3 pbc="T T T"
Pu 0.000 0.000 0.000
Hg 0.000 0.000 3.363
N 0.000 0.000 6.549
```

Computed properties:
V	62.7	Å³/f.u.
formation energy (no corrections)	-473	meV per atom
DFT total energy	-8.1263	eV/atom

8.
# Pu4Hg2N

An optimized crystal structure of Pu4Hg2N (GGA-PBE, Alexandria via LeMat-Bulk).

extended XYZ file:
```
7
Lattice="-2.405 2.405 7.781 2.405 -2.405 7.781 2.405 2.405 -7.781" Properties=species:S:1:pos:R:3 pbc="T T T"
Pu 2.405 0.000 0.000
Pu 0.000 0.000 2.456
Pu 0.000 2.405 0.000
Pu 0.000 0.000 13.107
Hg 0.000 0.000 5.614
Hg 0.000 0.000 9.949
N 0.000 0.000 0.000
```

Computed properties:
V	180.0	Å³/f.u.
formation energy (no corrections)	-264	meV per atom
DFT total energy	-9.7295	eV/atom

The lowest V belongs to which entry?
number 1

The lowest DFT total energy belongs to which entry?
Pu3HgN

Number 4 is which compound?
Pu3HgN